A geometry-optimized CaFeO3 structure. Source: the Alexandria database, functional PBE with a Hubbard U.

Volume   225 Å³ per cell
Symmetry   P2_1/c
Energy   -6.22 eV per atom
Total magnetization   7.9 μB/cell

a = 5.110 Å, b = 6.231 Å, c = 7.121 Å
α = 96.83°, β = 90.00°, γ = 90.00°
Fractional coordinates of all 20 atoms:
O: 0.191 0.629 0.601
O: 0.560 0.070 0.168
O: 0.086 0.183 0.051
O: 0.060 0.930 0.332
O: 0.414 0.183 0.551
O: 0.914 0.817 0.949
O: 0.309 0.629 0.101
O: 0.440 0.930 0.832
O: 0.940 0.070 0.668
O: 0.586 0.817 0.449
O: 0.691 0.371 0.899
O: 0.809 0.371 0.399
Ca: 0.255 0.374 0.328
Ca: 0.755 0.626 0.172
Ca: 0.245 0.374 0.828
Ca: 0.745 0.626 0.672
Fe: 0.759 0.087 0.929
Fe: 0.241 0.913 0.071
Fe: 0.741 0.087 0.429
Fe: 0.259 0.913 0.571